# 1
The following is a DFT calculation (PBE-GGA) of a relaxed structure of Sc4Cu3Rh.

Computed properties:
**Formation enthalpy at 0 K**: -459 meV per atom
**V**: 17.2 Å³/atom
**Density of states at the Fermi level**: 6.88 states/eV per cell
**Magnetization**: 0.00 μB/cell
**Density**: 5.70 g/cm³

abc: 3.282 4.584 9.168
angles: 90.00 90.00 90.00
Fractional positions:
Sc 0.000 0.000 0.500
Sc 0.000 0.500 0.754
Sc 0.000 0.500 0.246
Sc 0.000 0.000 0.000
Rh 0.500 0.500 0.000
Cu 0.500 0.000 0.250
Cu 0.500 0.000 0.750
Cu 0.500 0.500 0.500


# 2
The following is a DFT calculation (PBE-GGA) of a relaxed structure of Sc8Cu2Rh.

Computed properties:
**Offset from the most stable computed form**: 0.135 eV per atom
**Formation enthalpy at 0 K**: -172 meV per atom
**V**: 21.1 Å³/atom
**Density of states at the Fermi level**: 15.50 states/eV per cell
**Magnetization**: 0.00 μB/cell
**Density**: 4.21 g/cm³

abc: 5.109 7.423 7.423
angles: 117.33 101.07 101.07
Fractional positions:
Sc 0.612 0.337 0.097
Sc 0.387 0.909 0.669
Sc 0.612 0.097 0.337
Sc 0.000 0.797 0.209
Sc 0.194 0.372 0.372
Sc 0.805 0.634 0.634
Sc 0.000 0.209 0.797
Sc 0.387 0.669 0.909
Cu 0.500 0.303 0.704
Cu 0.500 0.704 0.303
Rh 0.001 0.003 0.003


- The highest density belongs to which entry?
  Sc4Cu3Rh